{"formula": "MgInRe", "functional": "PBE", "state": "relaxed", "lattice_angstrom": [[6.471, 0.000, 0.000], [0.000, 6.471, 0.000], [0.000, 0.000, 6.471]], "species": ["Mg", "Mg", "Mg", "Mg", "In", "In", "In", "In", "Re", "Re", "Re", "Re"], "fractional_positions": [[0.000, 0.000, 0.000], [0.000, 0.500, 0.500], [0.500, 0.000, 0.500], [0.500, 0.500, 0.000], [0.000, 0.000, 0.500], [0.000, 0.500, 0.000], [0.500, 0.000, 0.000], [0.500, 0.500, 0.500], [0.250, 0.250, 0.250], [0.250, 0.750, 0.750], [0.750, 0.250, 0.750], [0.750, 0.750, 0.250]], "formation_energy_ev_per_fu": 2.663, "total_magnetization_mub_per_cell": 7.350}